Material: BPRh
Method: DFT, PBE-GGA
State: optimized geometry

```
BPRh
1.0
5.474 0.000 0.000
0.000 5.745 -1.008
0.000 -2.549 5.189
P Rh B
4 4 4
Direct
0.608 0.724 0.869
0.108 0.276 0.631
0.392 0.276 0.131
0.892 0.724 0.369
0.470 0.739 0.277
0.530 0.261 0.723
0.970 0.261 0.223
0.030 0.739 0.777
0.586 0.122 0.291
0.914 0.122 0.791
0.414 0.878 0.709
0.086 0.878 0.209
```

- Energy of formation: -0.07 eV per atom
- Energy: -78.57 eV per cell